a.
Computed, not measured: an optimized crystal structure of SmDy3Ru2 at the PBE-GGA level of DFT.

## Properties
**Calculated density**: 9.566 Mg/m³
**Crystal system**: orthorhombic
**Magnetization**: 0.0 μB per cell
**DOS(E_F)**: 6.29 states/eV per cell

Geometry as POSCAR:
```
SmDy3Ru2
1.0
4.422 0.000 0.000
0.000 7.470 0.000
0.000 0.000 8.828
Dy Ru Sm
6 4 2
Cartesian
0.000 7.325 0.737 Dy
0.000 2.644 2.815 Dy
2.211 4.832 1.551 Dy
0.000 3.590 8.091 Dy
0.000 6.379 6.014 Dy
2.211 1.097 7.277 Dy
2.211 1.893 1.240 Ru
0.000 1.844 5.694 Ru
0.000 5.579 3.134 Ru
2.211 5.628 7.589 Ru
2.211 0.136 3.676 Sm
2.211 3.871 5.153 Sm
```



b.
Computed, not measured: an optimized crystal structure of SmDy3Ru2 at the PBE-GGA level of DFT.

## Properties
**Calculated density**: 8.921 Mg/m³
**Crystal system**: monoclinic
**Magnetization**: 0.0 μB per cell
**DOS(E_F)**: 7.43 states/eV per cell

Geometry as POSCAR:
```
SmDy3Ru2
1.0
4.787 0.000 0.000
2.394 7.737 2.010
2.394 4.267 9.552
Ru Dy Sm
4 6 2
Cartesian
4.787 3.600 6.225 Ru
7.181 6.633 9.128 Ru
2.394 5.371 2.434 Ru
4.787 8.403 5.337 Ru
2.394 2.698 1.246 Dy
7.181 9.306 10.316 Dy
2.394 3.918 7.895 Dy
7.181 8.701 7.000 Dy
2.394 3.303 4.562 Dy
7.181 8.086 3.667 Dy
4.787 6.312 7.463 Sm
4.787 5.692 4.099 Sm
```



Which of them is most stable? Easy: a.



a.
Computed, not measured: an optimized crystal structure of SmDy3Ru at the PBE-GGA level of DFT.

## Properties
**Calculated density**: 8.512 Mg/m³
**Crystal system**: monoclinic
**Magnetization**: 0.0 μB per cell
**DOS(E_F)**: 8.98 states/eV per cell

Geometry as POSCAR:
```
SmDy3Ru
1.0
4.912 -0.021 0.000
-2.464 6.078 0.000
0.000 0.000 9.674
Ru Dy Sm
2 6 2
Cartesian
2.451 6.018 2.419 Ru
-0.003 0.039 7.256 Ru
-0.012 1.625 0.000 Dy
2.460 4.431 4.837 Dy
2.448 1.624 7.256 Dy
2.460 4.431 9.674 Dy
0.000 4.432 2.419 Dy
-0.012 1.625 4.837 Dy
-0.001 4.374 7.256 Sm
2.449 1.683 2.419 Sm
```



b.
Computed, not measured: an optimized crystal structure of SmDy3Ru at the PBE-GGA level of DFT.

## Properties
**Calculated density**: 8.211 Mg/m³
**Crystal system**: orthorhombic
**Magnetization**: 0.0 μB per cell
**DOS(E_F)**: 10.25 states/eV per cell

Geometry as POSCAR:
```
SmDy3Ru
1.0
-5.132 3.653 3.815
-1.303 -7.195 0.878
7.083 0.462 1.965
Dy Sm Ru
6 2 2
Cartesian
4.563 -1.311 1.732 Dy
0.807 -5.649 1.404 Dy
1.347 -3.079 4.083 Dy
-1.106 -0.222 2.877 Dy
1.195 -1.889 0.732 Dy
4.171 -5.072 2.412 Dy
-2.009 -3.638 3.101 Sm
2.254 0.337 3.850 Sm
6.225 -3.252 2.547 Ru
-2.768 1.719 2.062 Ru
```



Which of them is most stable? Easy: b.



a.
Computed, not measured: an optimized crystal structure of SmDyZnRu at the PBE-GGA level of DFT.

## Properties
**Calculated density**: 9.183 Mg/m³
**Crystal system**: cubic
**Magnetization**: 0.0 μB per cell
**DOS(E_F)**: 3.00 states/eV per cell

Geometry as POSCAR:
```
SmDyZnRu
1.0
4.968 0.000 0.000
2.484 4.302 0.000
2.484 1.434 4.056
Dy Sm Zn Ru
1 1 1 1
Cartesian
4.968 2.868 2.028 Dy
0.000 0.000 0.000 Sm
7.451 4.302 3.042 Zn
2.484 1.434 1.014 Ru
```



b.
Computed, not measured: an optimized crystal structure of SmDyZnRu at the PBE-GGA level of DFT.

## Properties
**Calculated density**: 8.701 Mg/m³
**Crystal system**: orthorhombic
**Magnetization**: 0.0 μB per cell
**DOS(E_F)**: 4.26 states/eV per cell

Geometry as POSCAR:
```
SmDyZnRu
1.0
3.989 0.000 0.000
0.000 4.304 0.000
-1.995 0.000 5.328
Dy Ru Zn Sm
1 1 1 1
Cartesian
0.000 0.000 1.465 Dy
1.995 2.152 0.798 Ru
0.000 0.000 4.600 Zn
1.995 2.152 3.793 Sm
```



Which of them is most stable? Easy: a.



a.
Computed, not measured: an optimized crystal structure of Dy2SnRu at the PBE-GGA level of DFT.

## Properties
**Calculated density**: 9.181 Mg/m³
**Crystal system**: trigonal
**Magnetization**: 0.0 μB per cell
**DOS(E_F)**: 3.42 states/eV per cell

Geometry as POSCAR:
```
Dy2SnRu
1.0
-2.081 -2.797 -0.659
0.700 -2.122 -2.756
4.771 -6.777 4.147
Dy Sn Ru
2 1 1
Cartesian
0.646 -2.726 -0.021 Dy
2.744 -8.970 0.753 Dy
1.695 -5.848 0.366 Sn
0.000 0.000 0.000 Ru
```



b.
Computed, not measured: an optimized crystal structure of Dy2SnRu at the PBE-GGA level of DFT.

## Properties
**Calculated density**: 9.914 Mg/m³
**Crystal system**: tetragonal
**Magnetization**: 0.0 μB per cell
**DOS(E_F)**: 2.04 states/eV per cell

Geometry as POSCAR:
```
Dy2SnRu
1.0
3.852 0.000 0.000
0.000 4.867 0.000
0.000 0.000 4.867
Ru Sn Dy
1 1 2
Cartesian
1.926 2.434 2.434 Ru
1.926 0.000 0.000 Sn
0.000 0.000 2.434 Dy
0.000 2.434 0.000 Dy
```



c.
Computed, not measured: an optimized crystal structure of Dy2SnRu at the PBE-GGA level of DFT.

## Properties
**Calculated density**: 9.812 Mg/m³
**Crystal system**: cubic
**Magnetization**: 0.0 μB per cell
**DOS(E_F)**: 2.57 states/eV per cell

Geometry as POSCAR:
```
Dy2SnRu
1.0
5.071 0.000 0.000
2.535 4.391 0.000
2.535 1.464 4.140
Dy Ru Sn
2 1 1
Cartesian
7.606 4.391 3.105 Dy
2.535 1.464 1.035 Dy
5.071 2.928 2.070 Ru
0.000 0.000 0.000 Sn
```



Which of them is most stable? Easy: b.



a.
Computed, not measured: an optimized crystal structure of TbDySnRu at the PBE-GGA level of DFT.

## Properties
**Calculated density**: 9.159 Mg/m³
**Crystal system**: orthorhombic
**Magnetization**: 0.0 μB per cell
**DOS(E_F)**: 1.87 states/eV per cell

Geometry as POSCAR:
```
TbDySnRu
1.0
4.604 0.000 0.000
0.000 3.670 0.000
-2.302 0.000 5.807
Tb Dy Sn Ru
1 1 1 1
Cartesian
0.000 0.000 1.926 Tb
2.302 1.835 4.245 Dy
2.302 1.835 0.819 Sn
0.000 0.000 4.623 Ru
```



b.
Computed, not measured: an optimized crystal structure of TbDySnRu at the PBE-GGA level of DFT.

## Properties
**Calculated density**: 9.681 Mg/m³
**Crystal system**: cubic
**Magnetization**: 0.0 μB per cell
**DOS(E_F)**: 2.60 states/eV per cell

Geometry as POSCAR:
```
TbDySnRu
1.0
5.082 0.000 0.000
2.541 4.402 0.000
2.541 1.467 4.150
Sn Tb Dy Ru
1 1 1 1
Cartesian
5.082 2.934 2.075 Sn
7.624 4.402 3.112 Tb
2.541 1.467 1.037 Dy
0.000 0.000 0.000 Ru
```



Which of them is most stable? Easy: a.



a.
Computed, not measured: an optimized crystal structure of TbDy3Ru at the PBE-GGA level of DFT.

## Properties
**Calculated density**: 8.714 Mg/m³
**Crystal system**: monoclinic
**Magnetization**: 0.0 μB per cell
**DOS(E_F)**: 8.65 states/eV per cell

Geometry as POSCAR:
```
TbDy3Ru
1.0
4.842 -0.011 0.000
-2.420 6.049 0.000
0.000 0.000 9.737
Dy Tb Ru
6 2 2
Cartesian
0.004 4.394 2.434 Dy
-0.006 1.621 9.736 Dy
-0.006 1.621 4.869 Dy
2.417 1.643 7.303 Dy
2.427 4.416 4.868 Dy
2.427 4.416 0.001 Dy
2.417 1.654 2.434 Tb
0.004 4.383 7.303 Tb
2.422 6.031 2.434 Ru
-0.001 0.007 7.303 Ru
```



b.
Computed, not measured: an optimized crystal structure of TbDy3Ru at the PBE-GGA level of DFT.

## Properties
**Calculated density**: 7.941 Mg/m³
**Crystal system**: cubic
**Magnetization**: 0.0 μB per cell
**DOS(E_F)**: 8.57 states/eV per cell

Geometry as POSCAR:
```
TbDy3Ru
1.0
5.387 0.000 0.000
0.000 5.387 0.000
0.000 0.000 5.387
Dy Ru Tb
3 1 1
Cartesian
0.000 0.000 2.693 Dy
0.000 2.693 0.000 Dy
2.693 0.000 0.000 Dy
0.000 0.000 0.000 Ru
2.693 2.693 2.693 Tb
```



c.
Computed, not measured: an optimized crystal structure of TbDy3Ru at the PBE-GGA level of DFT.

## Properties
**Calculated density**: 8.401 Mg/m³
**Crystal system**: orthorhombic
**Magnetization**: 0.0 μB per cell
**DOS(E_F)**: 9.76 states/eV per cell

Geometry as POSCAR:
```
TbDy3Ru
1.0
7.300 0.704 0.235
-2.970 6.706 -0.235
-3.573 -2.882 5.725
Ru Dy Tb
2 6 2
Cartesian
3.793 0.583 0.127 Ru
-4.927 0.709 5.597 Ru
-4.691 3.063 4.239 Dy
-3.046 -0.390 4.028 Dy
-1.572 1.240 1.251 Dy
1.912 1.683 1.696 Dy
-0.876 3.312 4.035 Dy
-3.228 4.686 1.454 Dy
0.589 4.933 1.254 Tb
0.435 0.053 4.470 Tb
```



Which of them is most stable? Easy: c.



a.
Computed, not measured: an optimized crystal structure of Tb2Dy2Ru3 at the PBE-GGA level of DFT.

## Properties
**Calculated density**: 10.257 Mg/m³
**Crystal system**: triclinic
**Magnetization**: 0.0 μB per cell
**DOS(E_F)**: 5.53 states/eV per cell

Geometry as POSCAR:
```
Tb2Dy2Ru3
1.0
3.356 0.360 0.483
-0.804 7.601 0.132
0.815 -0.793 6.026
Ru Dy Tb
3 2 2
Cartesian
0.000 0.000 0.000 Ru
2.647 3.446 2.355 Ru
0.720 3.722 4.286 Ru
1.232 1.056 2.319 Dy
2.135 6.112 4.322 Dy
2.472 1.793 5.492 Tb
0.895 5.375 1.149 Tb
```



b.
Computed, not measured: an optimized crystal structure of Tb2Dy2Ru3 at the PBE-GGA level of DFT.

## Properties
**Calculated density**: 10.049 Mg/m³
**Crystal system**: monoclinic
**Magnetization**: 0.0 μB per cell
**DOS(E_F)**: 5.03 states/eV per cell

Geometry as POSCAR:
```
Tb2Dy2Ru3
1.0
-0.513 4.726 -1.141
-3.952 -2.810 0.588
1.477 -0.430 7.904
Ru Dy Tb
3 2 2
Cartesian
0.000 0.000 0.000 Ru
-2.849 0.142 1.821 Ru
-0.139 1.345 5.530 Ru
-2.921 0.815 4.578 Dy
-0.067 0.671 2.773 Dy
-1.306 -0.959 6.960 Tb
-1.682 2.446 0.391 Tb
```



Which of them is most stable? Easy: b.



a.
Computed, not measured: an optimized crystal structure of Tb2DyRu2 at the PBE-GGA level of DFT.

## Properties
**Calculated density**: 9.619 Mg/m³
**Crystal system**: orthorhombic
**Magnetization**: 0.0 μB per cell
**DOS(E_F)**: 5.48 states/eV per cell

Geometry as POSCAR:
```
Tb2DyRu2
1.0
4.251 0.000 0.000
-2.125 5.625 0.000
0.000 0.000 9.856
Ru Tb Dy
4 4 2
Cartesian
0.000 0.006 8.845 Ru
2.125 5.619 3.917 Ru
2.125 3.469 6.371 Ru
0.000 2.155 1.443 Ru
2.125 1.649 3.285 Tb
0.000 3.976 8.213 Tb
2.125 4.567 1.450 Tb
0.000 1.057 6.378 Tb
0.000 3.976 4.543 Dy
2.125 1.648 9.471 Dy
```



b.
Computed, not measured: an optimized crystal structure of Tb2DyRu2 at the PBE-GGA level of DFT.

## Properties
**Calculated density**: 9.585 Mg/m³
**Crystal system**: orthorhombic
**Magnetization**: 0.0 μB per cell
**DOS(E_F)**: 2.87 states/eV per cell

Geometry as POSCAR:
```
Tb2DyRu2
1.0
3.384 0.000 0.000
0.000 3.345 0.634
0.000 -0.238 10.401
Tb Dy Ru
2 1 2
Cartesian
0.000 2.716 3.952 Tb
0.000 0.390 7.083 Tb
0.000 0.000 0.000 Dy
1.692 1.768 8.958 Ru
1.692 1.339 2.077 Ru
```



Which of them is most stable? Easy: b.



a.
Computed, not measured: an optimized crystal structure of Tb3DyRu2 at the PBE-GGA level of DFT.

## Properties
**Calculated density**: 8.706 Mg/m³
**Crystal system**: orthorhombic
**Magnetization**: 0.0 μB per cell
**DOS(E_F)**: 4.80 states/eV per cell

Geometry as POSCAR:
```
Tb3DyRu2
1.0
-3.672 1.731 5.369
-0.570 -6.795 1.800
7.761 3.038 0.109
Dy Tb Ru
2 6 4
Cartesian
0.000 0.000 0.000 Dy
-0.285 -3.397 0.900 Dy
-1.979 -0.833 3.135 Tb
2.225 -4.858 3.088 Tb
1.009 -0.565 5.092 Tb
-2.263 -4.231 4.035 Tb
2.510 -1.461 2.188 Tb
1.294 2.832 4.191 Tb
3.309 0.756 3.899 Ru
0.210 -2.782 3.380 Ru
-1.141 1.387 4.872 Ru
4.660 -3.413 2.407 Ru
```



b.
Computed, not measured: an optimized crystal structure of Tb3DyRu2 at the PBE-GGA level of DFT.

## Properties
**Calculated density**: 9.509 Mg/m³
**Crystal system**: orthorhombic
**Magnetization**: 0.0 μB per cell
**DOS(E_F)**: 10.46 states/eV per cell

Geometry as POSCAR:
```
Tb3DyRu2
1.0
-3.422 -2.164 4.899
3.884 -5.575 0.251
4.209 3.133 4.325
Dy Ru Tb
2 4 6
Cartesian
1.502 -2.257 6.236 Dy
3.169 -2.349 3.238 Dy
6.064 -1.830 3.428 Ru
2.029 -0.612 1.147 Ru
4.353 -2.912 5.878 Ru
0.318 -1.694 3.597 Ru
3.051 -5.521 1.754 Tb
4.746 -0.027 5.366 Tb
1.620 0.915 7.720 Tb
2.873 -5.468 5.776 Tb
1.798 0.863 3.699 Tb
-0.075 -4.579 4.109 Tb
```



Which of them is most stable? Easy: b.



a.
Computed, not measured: an optimized crystal structure of Tb3DyRu3 at the PBE-GGA level of DFT.

## Properties
**Calculated density**: 10.137 Mg/m³
**Crystal system**: trigonal
**Magnetization**: 0.0 μB per cell
**DOS(E_F)**: 2.98 states/eV per cell

Geometry as POSCAR:
```
Tb3DyRu3
1.0
5.519 0.002 -1.948
-2.764 4.778 -1.956
-0.001 0.002 5.853
Tb Ru Dy
3 3 1
Cartesian
-0.011 0.018 2.414 Tb
1.605 2.822 1.135 Tb
2.273 0.018 -0.813 Tb
-1.392 2.406 1.941 Ru
2.750 0.019 1.946 Ru
1.367 2.406 -1.958 Ru
-1.154 1.995 -0.817 Dy
```



b.
Computed, not measured: an optimized crystal structure of Tb3DyRu3 at the PBE-GGA level of DFT.

## Properties
**Calculated density**: 9.905 Mg/m³
**Crystal system**: monoclinic
**Magnetization**: 0.0 μB per cell
**DOS(E_F)**: 8.02 states/eV per cell

Geometry as POSCAR:
```
Tb3DyRu3
1.0
6.647 1.565 0.383
-1.560 6.648 0.383
-0.288 -0.465 6.734
Tb Dy Ru
6 2 6
Cartesian
0.477 5.386 0.383 Tb
4.610 2.827 0.383 Tb
1.110 1.792 3.561 Tb
4.483 2.584 3.750 Tb
0.316 5.164 3.750 Tb
3.689 5.957 3.938 Tb
1.240 2.002 0.192 Dy
3.559 5.746 7.307 Dy
-0.996 2.976 5.245 Ru
5.015 8.097 2.446 Ru
5.795 4.773 2.255 Ru
3.108 0.434 5.245 Ru
1.691 7.314 2.255 Ru
-0.216 -0.348 5.053 Ru
```



Which of them is most stable? Easy: a.



a.
Computed, not measured: an optimized crystal structure of DyTcRu at the PBE-GGA level of DFT.

## Properties
**Calculated density**: 10.996 Mg/m³
**Crystal system**: orthorhombic
**Magnetization**: 0.0 μB per cell
**DOS(E_F)**: 12.57 states/eV per cell

Geometry as POSCAR:
```
DyTcRu
1.0
5.477 -0.157 0.000
-2.790 4.715 0.000
0.000 0.000 8.602
Tc Ru Dy
4 4 4
Cartesian
5.411 -0.118 2.146 Tc
5.411 -0.118 6.456 Tc
1.309 3.789 4.301 Tc
0.006 1.579 4.301 Tc
4.104 0.652 0.000 Ru
-1.335 3.858 4.301 Ru
2.726 2.944 0.000 Ru
1.431 0.748 0.000 Ru
2.700 1.480 5.923 Dy
-0.038 3.093 1.574 Dy
2.700 1.480 2.680 Dy
-0.038 3.093 7.028 Dy
```



b.
Computed, not measured: an optimized crystal structure of DyTcRu at the PBE-GGA level of DFT.

## Properties
**Calculated density**: 10.465 Mg/m³
**Crystal system**: monoclinic
**Magnetization**: 0.0 μB per cell
**DOS(E_F)**: 6.55 states/eV per cell

Geometry as POSCAR:
```
DyTcRu
1.0
-3.877 -0.978 -3.012
-1.432 0.642 4.753
2.821 5.496 0.663
Ru Dy Tc
2 2 2
Cartesian
-0.241 1.108 -0.522 Ru
-2.247 4.052 2.927 Ru
-3.119 0.222 -0.470 Dy
0.631 4.938 2.875 Dy
1.410 2.748 0.332 Tc
-1.244 2.580 1.203 Tc
```



Which of them is most stable? Easy: a.